# 1
Pr2Sn3Rh4Au (PBE, relaxed); crystal system = tetragonal; ΔE_f = -6.40 eV/f.u.; DFT total energy = -6.06 eV per atom; space-group type = P-4m2; volume = 216 Å³/cell
1.0
4.395 0.000 0.000
0.000 4.395 0.000
0.000 0.000 11.176
Pr Sn Rh Au
2 3 4 1
Cartesian
0.000 2.197 8.299 Pr
2.197 0.000 2.877 Pr
2.197 0.000 9.752 Sn
0.000 2.197 1.424 Sn
0.000 0.000 5.588 Sn
0.000 2.197 3.998 Rh
0.000 0.000 0.000 Rh
2.197 0.000 7.178 Rh
2.197 2.197 0.000 Rh
2.197 2.197 5.588 Au

=====

# 2
La3InRu (PBE, relaxed); crystal system = orthorhombic; relative energy among the computed polymorphs = 0.087 eV/atom; ΔE_f = -1.65 eV/f.u.; DFT total energy = -5.69 eV per atom; space-group type = Pnma; volume = 576 Å³/cell
1.0
6.840 0.000 0.000
0.000 9.804 0.000
0.000 0.000 8.595
Ru La In
4 12 4
Cartesian
0.000 0.000 4.297 Ru
3.420 4.902 0.000 Ru
0.000 4.902 4.297 Ru
3.420 0.000 0.000 Ru
0.416 9.342 6.895 La
3.004 0.461 2.597 La
3.004 4.441 2.597 La
4.876 2.451 7.835 La
6.424 4.441 1.700 La
3.835 9.342 5.997 La
1.964 7.353 0.759 La
5.384 7.353 3.538 La
1.456 2.451 5.057 La
3.835 5.363 5.997 La
6.424 0.461 1.700 La
0.416 5.363 6.895 La
5.152 7.353 0.029 In
5.107 2.451 4.326 In
1.732 7.353 4.268 In
1.688 2.451 8.565 In

=====

# 3
CuPt3Rh12 (PBE, relaxed); crystal system = tetragonal; ΔE_f = 0.17 eV/f.u.; DFT total energy = -6.89 eV per atom; space-group type = P4/mmm; volume = 231 Å³/cell
1.0
3.871 0.000 0.000
0.000 3.871 0.000
0.000 0.000 15.389
Cu Rh Pt
1 12 3
Cartesian
0.000 0.000 0.000 Cu
1.935 0.000 1.873 Rh
1.935 0.000 9.644 Rh
1.935 1.935 3.813 Rh
0.000 1.935 13.516 Rh
0.000 1.935 1.873 Rh
1.935 0.000 5.746 Rh
1.935 1.935 7.695 Rh
0.000 1.935 9.644 Rh
1.935 1.935 11.577 Rh
0.000 1.935 5.746 Rh
1.935 1.935 0.000 Rh
1.935 0.000 13.516 Rh
0.000 0.000 3.812 Pt
0.000 0.000 11.577 Pt
0.000 0.000 7.695 Pt